Record 1
# BaNa3Ag2 | Alexandria | PBE | optimized geometry
data_BaNa3Ag2
_chemical_formula_sum 'Ba4 Na12 Ag8'
_cell_length_a 17.9471
_cell_length_b 4.9280
_cell_length_c 9.6044
_cell_angle_alpha 90.00
_cell_angle_beta 116.74
_cell_angle_gamma 90.00
_space_group_name_H-M_alt 'C 1 2/m 1'
_space_group_IT_number 12
loop_
_space_group_symop_operation_xyz
'x,y,z'
'-x,-y,-z'
'-x,y,-z'
'x,-y,z'
'x+1/2,y+1/2,z'
'-x+1/2,-y+1/2,-z'
'-x+1/2,y+1/2,-z'
'x+1/2,-y+1/2,z'
loop_
_atom_site_label
_atom_site_fract_x
_atom_site_fract_y
_atom_site_fract_z
Ba1 0.1415 0.0000 0.0556
Na1 0.0500 0.0000 0.3818
Na2 0.1000 0.5000 0.7019
Na3 0.1878 0.5000 0.4624
Ag1 0.0227 0.5000 0.1586
Ag2 0.2056 0.0000 0.7248
# VASP energy ... -0.074 hartree per atom
# Formation energy ... -0.08 eV per atom
# Magnetic moment ... 0.000 μB per atom

=====

Record 2
# LiReSb2 | Alexandria | PBE | optimized geometry
data_LiReSb2
_chemical_formula_sum 'Li1 Re1 Sb2'
_cell_length_a 3.5184
_cell_length_b 4.1887
_cell_length_c 5.2357
_cell_angle_alpha 90.00
_cell_angle_beta 90.00
_cell_angle_gamma 90.00
_space_group_name_H-M_alt 'P m m m'
_space_group_IT_number 47
loop_
_space_group_symop_operation_xyz
'x,y,z'
'-x,-y,-z'
'-x,-y,z'
'x,y,-z'
'x,-y,-z'
'-x,y,z'
'-x,y,-z'
'x,-y,z'
loop_
_atom_site_label
_atom_site_fract_x
_atom_site_fract_y
_atom_site_fract_z
Li1 0.0000 0.0000 0.0000
Re1 0.5000 0.0000 0.5000
Sb1 0.0000 0.5000 0.5000
Sb2 0.5000 0.5000 0.0000
# VASP energy ... -0.191 hartree per atom
# Formation energy from raw total energies ... 45 kJ per mole of atoms
# Magnetic moment ... 0.000 μB per atom

=====

Record 3
# KLiAgSb2 | Alexandria | PBE | optimized geometry
data_KLiAgSb2
_chemical_formula_sum 'K1 Li1 Ag1 Sb2'
_cell_length_a 5.4544
_cell_length_b 5.4544
_cell_length_c 5.7617
_cell_angle_alpha 90.00
_cell_angle_beta 90.00
_cell_angle_gamma 90.00
_space_group_name_H-M_alt 'P 4/m m m'
_space_group_IT_number 123
_space_group_name_Hall '-P 4 2'
loop_
_atom_site_label
_atom_site_fract_x
_atom_site_fract_y
_atom_site_fract_z
K1 0.0000 0.0000 0.0000
Li1 0.5000 0.5000 0.0000
Ag1 0.0000 0.0000 0.5000
Sb1 0.0000 0.5000 0.5000
# VASP energy ... -0.098 hartree per atom
# Formation energy from raw total energies ... 14 kJ per mole of atoms
# Magnetic moment ... 0.000 μB per atom

=====

Record 4
# LaCr2Hg | Alexandria | PBE | optimized geometry
data_LaCr2Hg
_chemical_formula_sum 'La2 Cr4 Hg2'
_cell_length_a 4.6259
_cell_length_b 5.2109
_cell_length_c 7.5582
_cell_angle_alpha 90.00
_cell_angle_beta 90.00
_cell_angle_gamma 90.00
_space_group_name_H-M_alt 'I m m 2'
_space_group_IT_number 44
loop_
_space_group_symop_operation_xyz
'x,y,z'
'-x,-y,z'
'-x,y,z'
'x,-y,z'
'x+1/2,y+1/2,z+1/2'
'-x+1/2,-y+1/2,z+1/2'
'-x+1/2,y+1/2,z+1/2'
'x+1/2,-y+1/2,z+1/2'
loop_
_atom_site_label
_atom_site_fract_x
_atom_site_fract_y
_atom_site_fract_z
La1 0.0000 0.0000 0.0000
Cr1 0.0000 0.0000 0.4668
Cr2 0.0000 0.5000 0.7810
Hg1 0.0000 0.5000 0.2201
# VASP energy ... -0.214 hartree per atom
# Formation energy ... 0.30 eV per atom
# Magnetic moment ... 0.094 μB per atom

=====

Record 5
# TmNb2Fe | Alexandria | PBE | optimized geometry
data_TmNb2Fe
_chemical_formula_sum 'Tm4 Nb8 Fe4'
_cell_length_a 6.5691
_cell_length_b 6.5691
_cell_length_c 6.5691
_cell_angle_alpha 90.00
_cell_angle_beta 90.00
_cell_angle_gamma 90.00
_space_group_name_H-M_alt 'F m -3 m'
_space_group_IT_number 225
_space_group_name_Hall '-F 4 2 3'
loop_
_atom_site_label
_atom_site_fract_x
_atom_site_fract_y
_atom_site_fract_z
Tm1 0.0000 0.0000 0.0000
Nb1 0.2500 0.2500 0.2500
Fe1 0.0000 0.0000 0.5000
# VASP energy ... -0.290 hartree per atom
# Formation energy ... 0.39 eV per atom
# Magnetic moment ... 0.281 μB per atom

=====

Record 6
# AcMg3Pd | Alexandria | PBE | optimized geometry
data_AcMg3Pd
_chemical_formula_sum 'Ac1 Mg3 Pd1'
_cell_length_a 5.0952
_cell_length_b 5.0952
_cell_length_c 5.0952
_cell_angle_alpha 90.00
_cell_angle_beta 90.00
_cell_angle_gamma 90.00
_space_group_name_H-M_alt 'P m -3 m'
_space_group_IT_number 221
_space_group_name_Hall '-P 4 2 3'
loop_
_atom_site_label
_atom_site_fract_x
_atom_site_fract_y
_atom_site_fract_z
Ac1 0.0000 0.0000 0.0000
Mg1 0.0000 0.5000 0.5000
Pd1 0.5000 0.5000 0.5000
# VASP energy ... -0.114 hartree per atom
# Formation energy ... -0.30 eV per atom
# Magnetic moment ... 0.000 μB per atom